(A)
Material: LiGe3Br
Method: DFT, GGA-PBE
State: optimized geometry

```
data_LiGe3Br
_chemical_formula_sum 'Li1 Ge3 Br1'
_cell_length_a 5.243
_cell_length_b 5.243
_cell_length_c 5.243
_cell_angle_alpha 90.00
_cell_angle_beta 90.00
_cell_angle_gamma 90.00
_space_group_name_H-M_alt 'P m -3 m'
_space_group_IT_number 221
_space_group_name_Hall '-P 4 2 3'
loop_
_atom_site_label
_atom_site_fract_x
_atom_site_fract_y
_atom_site_fract_z
Li1 0.000 0.000 0.000
Ge1 0.000 0.500 0.500
Br1 0.500 0.500 0.500
```

(B)
Material: LiGe3Br
Method: DFT, GGA-PBE
State: optimized geometry

```
data_LiGe3Br
_chemical_formula_sum 'Li1 Ge3 Br1'
_cell_length_a 4.780
_cell_length_b 4.780
_cell_length_c 4.780
_cell_angle_alpha 90.00
_cell_angle_beta 90.00
_cell_angle_gamma 90.00
_space_group_name_H-M_alt 'P m -3 m'
_space_group_IT_number 221
_space_group_name_Hall '-P 4 2 3'
loop_
_atom_site_label
_atom_site_fract_x
_atom_site_fract_y
_atom_site_fract_z
Li1 0.000 0.000 0.000
Ge1 0.000 0.000 0.500
Br1 0.500 0.500 0.500
```

Q: Which of them is the most stable? A: (B).

(A)
Material: LiGeSeBr2
Method: DFT, GGA-PBE
State: optimized geometry

```
data_LiGeSeBr2
_chemical_formula_sum 'Li1 Ge1 Se1 Br2'
_cell_length_a 4.878
_cell_length_b 4.878
_cell_length_c 4.989
_cell_angle_alpha 90.00
_cell_angle_beta 90.00
_cell_angle_gamma 90.00
_space_group_name_H-M_alt 'P 4/m m m'
_space_group_IT_number 123
_space_group_name_Hall '-P 4 2'
loop_
_atom_site_label
_atom_site_fract_x
_atom_site_fract_y
_atom_site_fract_z
Li1 0.000 0.000 0.000
Ge1 0.500 0.500 0.500
Se1 0.000 0.000 0.500
Br1 0.000 0.500 0.000
```

(B)
Material: LiGeSeBr2
Method: DFT, GGA-PBE
State: optimized geometry

```
data_LiGeSeBr2
_chemical_formula_sum 'Li1 Ge1 Se1 Br2'
_cell_length_a 5.431
_cell_length_b 5.431
_cell_length_c 5.046
_cell_angle_alpha 90.00
_cell_angle_beta 90.00
_cell_angle_gamma 90.00
_space_group_name_H-M_alt 'P 4/m m m'
_space_group_IT_number 123
_space_group_name_Hall '-P 4 2'
loop_
_atom_site_label
_atom_site_fract_x
_atom_site_fract_y
_atom_site_fract_z
Li1 0.000 0.000 0.000
Ge1 0.500 0.500 0.500
Se1 0.500 0.500 0.000
Br1 0.000 0.500 0.500
```

Q: Which of them is the most stable? A: (B).

(A)
Material: LiGeSe2Br
Method: DFT, GGA-PBE
State: optimized geometry

```
data_LiGeSe2Br
_chemical_formula_sum 'Li1 Ge1 Se2 Br1'
_cell_length_a 4.573
_cell_length_b 4.573
_cell_length_c 5.496
_cell_angle_alpha 90.00
_cell_angle_beta 90.00
_cell_angle_gamma 90.00
_space_group_name_H-M_alt 'P 4/m m m'
_space_group_IT_number 123
_space_group_name_Hall '-P 4 2'
loop_
_atom_site_label
_atom_site_fract_x
_atom_site_fract_y
_atom_site_fract_z
Li1 0.000 0.000 0.000
Ge1 0.500 0.500 0.500
Se1 0.000 0.500 0.000
Br1 0.000 0.000 0.500
```

(B)
Material: LiGeSe2Br
Method: DFT, GGA-PBE
State: optimized geometry

```
data_LiGeSe2Br
_chemical_formula_sum 'Li1 Ge1 Se2 Br1'
_cell_length_a 4.971
_cell_length_b 4.971
_cell_length_c 5.681
_cell_angle_alpha 90.00
_cell_angle_beta 90.00
_cell_angle_gamma 90.00
_space_group_name_H-M_alt 'P 4/m m m'
_space_group_IT_number 123
_space_group_name_Hall '-P 4 2'
loop_
_atom_site_label
_atom_site_fract_x
_atom_site_fract_y
_atom_site_fract_z
Li1 0.000 0.000 0.000
Ge1 0.500 0.500 0.500
Se1 0.000 0.500 0.500
Br1 0.500 0.500 0.000
```

Q: Which of them is the most stable? A: (B).

(A)
Material: MgGeBr2
Method: DFT, GGA-PBE
State: optimized geometry

```
data_MgGeBr2
_chemical_formula_sum 'Mg4 Ge4 Br8'
_cell_length_a 7.806
_cell_length_b 7.806
_cell_length_c 6.757
_cell_angle_alpha 90.00
_cell_angle_beta 90.00
_cell_angle_gamma 90.00
_space_group_name_H-M_alt 'I -4 2 d'
_space_group_IT_number 122
_space_group_name_Hall 'I -4 2bw'
loop_
_atom_site_label
_atom_site_fract_x
_atom_site_fract_y
_atom_site_fract_z
Mg1 0.000 0.000 0.000
Ge1 0.000 0.000 0.500
Br1 0.220 0.250 0.125
```

(B)
Material: MgGeBr2
Method: DFT, GGA-PBE
State: optimized geometry

```
data_MgGeBr2
_chemical_formula_sum 'Mg4 Ge4 Br8'
_cell_length_a 7.245
_cell_length_b 7.245
_cell_length_c 7.245
_cell_angle_alpha 90.00
_cell_angle_beta 90.00
_cell_angle_gamma 90.00
_space_group_name_H-M_alt 'F m -3 m'
_space_group_IT_number 225
_space_group_name_Hall '-F 4 2 3'
loop_
_atom_site_label
_atom_site_fract_x
_atom_site_fract_y
_atom_site_fract_z
Mg1 0.000 0.000 0.000
Ge1 0.000 0.000 0.500
Br1 0.250 0.250 0.250
```

Q: Which of them is the most stable? A: (A).

(A)
Material: MgGeSeBr2
Method: DFT, GGA-PBE
State: optimized geometry

```
data_MgGeSeBr2
_chemical_formula_sum 'Mg1 Ge1 Se1 Br2'
_cell_length_a 5.007
_cell_length_b 5.007
_cell_length_c 5.424
_cell_angle_alpha 90.00
_cell_angle_beta 90.00
_cell_angle_gamma 90.00
_space_group_name_H-M_alt 'P 4/m m m'
_space_group_IT_number 123
_space_group_name_Hall '-P 4 2'
loop_
_atom_site_label
_atom_site_fract_x
_atom_site_fract_y
_atom_site_fract_z
Mg1 0.000 0.000 0.000
Ge1 0.500 0.500 0.500
Se1 0.000 0.000 0.500
Br1 0.000 0.500 0.000
```

(B)
Material: MgGeSeBr2
Method: DFT, GGA-PBE
State: optimized geometry

```
data_MgGeSeBr2
_chemical_formula_sum 'Mg1 Ge1 Se1 Br2'
_cell_length_a 5.253
_cell_length_b 5.253
_cell_length_c 5.224
_cell_angle_alpha 90.00
_cell_angle_beta 90.00
_cell_angle_gamma 90.00
_space_group_name_H-M_alt 'P 4/m m m'
_space_group_IT_number 123
_space_group_name_Hall '-P 4 2'
loop_
_atom_site_label
_atom_site_fract_x
_atom_site_fract_y
_atom_site_fract_z
Mg1 0.000 0.000 0.000
Ge1 0.500 0.500 0.500
Se1 0.500 0.500 0.000
Br1 0.000 0.500 0.500
```

Q: Which of them is the most stable? A: (A).

(A)
Material: MgGeSe2Br
Method: DFT, GGA-PBE
State: optimized geometry

```
data_MgGeSe2Br
_chemical_formula_sum 'Mg1 Ge1 Se2 Br1'
_cell_length_a 5.059
_cell_length_b 5.059
_cell_length_c 5.182
_cell_angle_alpha 90.00
_cell_angle_beta 90.00
_cell_angle_gamma 90.00
_space_group_name_H-M_alt 'P 4/m m m'
_space_group_IT_number 123
_space_group_name_Hall '-P 4 2'
loop_
_atom_site_label
_atom_site_fract_x
_atom_site_fract_y
_atom_site_fract_z
Mg1 0.000 0.000 0.000
Ge1 0.500 0.500 0.500
Se1 0.000 0.500 0.500
Br1 0.500 0.500 0.000
```

(B)
Material: MgGeSe2Br
Method: DFT, GGA-PBE
State: optimized geometry

```
data_MgGeSe2Br
_chemical_formula_sum 'Mg1 Ge1 Se2 Br1'
_cell_length_a 5.085
_cell_length_b 5.085
_cell_length_c 5.068
_cell_angle_alpha 90.00
_cell_angle_beta 90.00
_cell_angle_gamma 90.00
_space_group_name_H-M_alt 'P 4/m m m'
_space_group_IT_number 123
_space_group_name_Hall '-P 4 2'
loop_
_atom_site_label
_atom_site_fract_x
_atom_site_fract_y
_atom_site_fract_z
Mg1 0.000 0.000 0.000
Ge1 0.500 0.500 0.500
Se1 0.000 0.500 0.000
Br1 0.000 0.000 0.500
```

Q: Which of them is the most stable? A: (A).